# 1
Below is crystalline KTi2PdO6 at its relaxed geometry, with properties calculated at the PBE level.

Results
As for the formation energy from raw total energies: -2.066 eV/atom. As for the energy: -7.249 eV per atom. The calculated volume is 16.46 A^3/atom. The magnetic moment is 2.13 μB per cell. The space group is C2/c (15).

```
20
Lattice="6.291 -4.595 0.000 6.291 4.595 0.000 -2.746 0.000 5.693" Properties=species:S:1:pos:R:3 pbc="T T T"
K 4.232 3.105 4.270
K 5.605 -3.105 1.423
Ti 0.860 0.922 4.510
Ti 2.233 -0.922 1.663
Ti 7.604 0.922 4.030
Ti 8.977 -0.922 1.183
Pd 5.605 1.815 1.423
Pd 4.232 -1.815 4.270
O 3.709 2.246 1.746
O 1.236 0.079 2.856
O 2.375 1.600 5.196
O 2.608 -0.079 0.010
O 7.500 2.246 1.100
O 6.088 1.600 3.344
O 3.748 -1.600 2.349
O 2.336 -2.246 4.593
O 7.228 0.079 5.683
O 7.461 -1.600 0.497
O 8.601 -0.079 2.837
O 6.127 -2.246 3.947
```

# 2
Below is crystalline KTiPdO2 at its relaxed geometry, with properties calculated at the PBE level.

Results
As for the formation energy from raw total energies: -1.230 eV/atom. As for the energy: -6.050 eV per atom. The calculated volume is 16.13 A^3/atom. The magnetic moment is 0.00 μB per cell. The space group is P4/mmm (123).

```
5
Lattice="3.964 0.000 0.000 0.000 3.964 0.000 0.000 0.000 5.134" Properties=species:S:1:pos:R:3 pbc="T T T"
K 0.000 0.000 0.000
Ti 1.982 1.982 2.567
Pd 1.982 1.982 0.000
O 0.000 1.982 2.567
O 1.982 0.000 2.567
```

# 3
Below is crystalline K3TlPd3O8 at its relaxed geometry, with properties calculated at the PBE level.

Results
As for the formation energy from raw total energies: -0.791 eV/atom. As for the energy: -4.851 eV per atom. The calculated volume is 15.64 A^3/atom. The magnetic moment is 0.00 μB per cell. The space group is C2/m (12).

```
15
Lattice="6.050 -3.194 0.000 6.050 3.194 0.000 -3.117 0.000 6.071" Properties=species:S:1:pos:R:3 pbc="T T T"
K 0.000 0.000 0.000
K 3.025 1.597 0.000
K 3.025 -1.597 0.000
Tl -1.558 0.000 3.035
Pd 1.467 1.597 3.035
Pd 1.467 -1.597 3.035
Pd 4.492 0.000 3.035
O 3.348 1.423 3.913
O 1.876 0.000 1.782
O 0.696 0.000 4.121
O 5.635 1.423 2.158
O 3.348 -1.423 3.913
O 8.287 0.000 1.950
O 7.108 0.000 4.289
O 5.635 -1.423 2.158
```

# 4
Below is crystalline K3Tl3PdO8 at its relaxed geometry, with properties calculated at the PBE level.

Results
As for the formation energy from raw total energies: -0.951 eV/atom. As for the energy: -4.635 eV per atom. The calculated volume is 16.75 A^3/atom. The magnetic moment is 0.00 μB per cell. The space group is R-3m (166).

```
15
Lattice="3.408 1.968 6.245 -3.408 1.968 6.245 0.000 -3.935 6.245" Properties=species:S:1:pos:R:3 pbc="T T T"
K -1.704 -0.984 6.245
K -1.704 0.984 12.489
K 0.000 1.968 6.245
Tl -3.408 0.000 9.367
Tl -1.704 0.984 3.122
Tl 1.704 0.984 3.122
Pd 0.000 0.000 9.367
O 0.000 0.000 4.342
O -1.510 -0.872 10.469
O 0.000 -1.744 8.264
O -1.510 0.872 8.264
O 1.510 -0.872 10.469
O 0.000 1.744 10.469
O 1.510 0.872 8.264
O 0.000 0.000 14.391
```

# 5
Below is crystalline K2Tl2PdO6 at its relaxed geometry, with properties calculated at the PBE level.

Results
As for the formation energy from raw total energies: -0.907 eV/atom. As for the energy: -4.713 eV per atom. The calculated volume is 16.66 A^3/atom. The magnetic moment is 0.00 μB per cell. The space group is C2/m (12).

```
11
Lattice="2.939 -4.988 0.000 2.939 4.988 0.000 -1.929 0.000 6.250" Properties=species:S:1:pos:R:3 pbc="T T T"
K 2.939 3.317 0.000
K 2.939 -3.317 0.000
Tl 1.974 1.644 3.125
Tl 1.974 -1.644 3.125
Pd -0.964 0.000 3.125
O -0.101 1.493 4.243
O 0.753 0.000 2.016
O -0.101 -1.493 4.243
O 4.050 1.493 2.008
O 3.196 0.000 4.235
O 4.050 -1.493 2.008
```

# 6
Below is crystalline KTmPdO3 at its relaxed geometry, with properties calculated at the PBE level.

Results
As for the formation energy from raw total energies: -1.851 eV/atom. As for the energy: -6.124 eV per atom. The calculated volume is 18.48 A^3/atom. The magnetic moment is 0.00 μB per cell. The space group is Cmcm (63).

```
12
Lattice="1.895 -7.010 0.000 1.895 7.010 0.000 0.000 0.000 8.346" Properties=species:S:1:pos:R:3 pbc="T T T"
K 1.895 3.980 6.260
K 1.895 -3.980 2.087
Tm 1.895 0.000 0.000
Tm 1.895 0.000 4.173
Pd 1.895 5.663 2.087
Pd 1.895 -5.663 6.260
O 1.895 5.630 4.186
O 1.895 5.630 8.334
O 1.895 0.757 6.260
O 1.895 -0.757 2.087
O 1.895 -5.630 0.013
O 1.895 -5.630 4.160
```

# 7
Below is crystalline KUPdO6 at its relaxed geometry, with properties calculated at the PBE level.

Results
As for the formation energy from raw total energies: -1.737 eV/atom. As for the energy: -6.996 eV per atom. The calculated volume is 17.25 A^3/atom. The magnetic moment is 0.00 μB per cell. The space group is P-31c (163).

```
18
Lattice="5.461 0.000 0.000 -2.730 4.729 0.000 0.000 0.000 12.022" Properties=species:S:1:pos:R:3 pbc="T T T"
K 0.000 0.000 0.000
K 0.000 0.000 6.011
U 0.000 3.153 3.005
U 2.730 1.576 9.016
Pd 0.000 3.153 9.016
Pd 2.730 1.576 3.005
O -0.982 1.770 7.921
O -1.688 2.994 10.112
O 0.982 1.770 10.112
O -0.707 4.694 7.921
O 2.024 0.035 1.910
O 1.042 1.735 4.101
O 1.688 2.994 7.921
O 0.707 4.694 10.112
O 3.437 0.035 4.101
O 1.749 2.959 1.910
O 4.419 1.735 1.910
O 3.712 2.959 4.101
```

# 8
Below is crystalline KU2PdO8 at its relaxed geometry, with properties calculated at the PBE level.

Results
As for the formation energy from raw total energies: -2.256 eV/atom. As for the energy: -7.967 eV per atom. The calculated volume is 15.30 A^3/atom. The magnetic moment is 1.00 μB per cell. The space group is C2/m (12).

```
12
Lattice="3.790 -3.446 0.000 3.790 3.446 0.000 -0.361 0.000 7.026" Properties=species:S:1:pos:R:3 pbc="T T T"
K 0.000 0.000 0.000
U 3.474 0.000 5.234
U 3.746 0.000 1.793
Pd -0.181 0.000 3.513
O 3.589 1.978 2.086
O 3.631 1.978 4.940
O 2.254 0.000 3.605
O 2.575 0.000 0.115
O 4.645 0.000 6.912
O 4.966 0.000 3.422
O 3.589 -1.978 2.086
O 3.631 -1.978 4.940
```

# 9
Below is crystalline K2UPdO6 at its relaxed geometry, with properties calculated at the PBE level.

Results
As for the formation energy from raw total energies: -1.942 eV/atom. As for the energy: -6.784 eV per atom. The calculated volume is 13.97 A^3/atom. The magnetic moment is 0.00 μB per cell. The space group is Fm-3m (225).

```
10
Lattice="0.000 4.118 4.118 4.118 0.000 4.118 4.118 4.118 0.000" Properties=species:S:1:pos:R:3 pbc="T T T"
K 2.059 2.059 2.059
K 6.178 6.178 6.178
U 0.000 0.000 0.000
Pd 4.118 4.118 4.118
O 4.118 4.118 2.070
O 4.118 2.070 4.118
O 6.167 4.118 4.118
O 2.070 4.118 4.118
O 4.118 6.167 4.118
O 4.118 4.118 6.167
```

# 10
Below is crystalline K2UPd2O6 at its relaxed geometry, with properties calculated at the PBE level.

Results
As for the formation energy from raw total energies: -1.714 eV/atom. As for the energy: -6.589 eV per atom. The calculated volume is 16.79 A^3/atom. The magnetic moment is 0.00 μB per cell. The space group is C2/m (12).

```
11
Lattice="3.129 -4.629 0.000 3.129 4.629 0.000 -3.107 0.000 6.375" Properties=species:S:1:pos:R:3 pbc="T T T"
K 3.129 2.951 0.000
K 3.129 -2.951 0.000
U 1.576 0.000 3.187
Pd 1.576 3.093 3.187
Pd 1.576 -3.093 3.187
O -0.639 0.000 2.145
O 1.995 1.499 1.889
O 1.157 1.499 4.485
O 1.995 -1.499 1.889
O 1.157 -1.499 4.485
O 3.791 0.000 4.229
```